DFT (GGA-PBE) results for an optimized crystal structure of KRuPb. Values from VASP.

Computed properties:
Its space group is P3m1, No. 156. The calculation puts the formation energy at 0.81 eV/atom. The total magnetization comes out at 1.1 μB/f.u. The energy above the most stable polymorph in this dataset comes out at 280 meV per atom.

```
&SYSTEM
  ibrav = 0, nat = 3, ntyp = 3
/
ATOMIC_SPECIES
K 39.10 K.upf
Ru 101.07 Ru.upf
Pb 207.20 Pb.upf
CELL_PARAMETERS angstrom
5.167 0.000 0.000
-2.584 4.475 0.000
0.000 0.000 3.153
ATOMIC_POSITIONS angstrom
K 0.000 0.000 3.149
Ru 0.000 2.983 1.589
Pb 2.584 1.492 1.569
```